Below is crystalline PrMgW2O6 at its relaxed geometry, with properties calculated at the PBE with a Hubbard U level.

Computed properties:
**E_tot**: -7.39 eV per atom
**ρ**: 8.2 Mg/m³

Unit cell a=5.555 b=5.699 c=9.775 alpha=90.00 beta=124.24 gamma=90.00
Space group Pc (No. 7)
One atom of each set of equivalent atoms:
Pr (0.000, 0.200, 0.000) [2 per cell]
Mg (0.535, 0.291, 0.531) [2 per cell]
W (0.254, 0.241, 0.750) [2 per cell]
W (0.756, 0.266, 0.251) [2 per cell]
O (0.140, 0.199, 0.495) [2 per cell]
O (0.398, 0.333, 0.000) [2 per cell]
O (0.519, 0.090, 0.326) [2 per cell]
O (0.624, 0.419, 0.787) [2 per cell]
O (0.866, 0.044, 0.689) [2 per cell]
O (0.959, 0.470, 0.169) [2 per cell]